Material: CuAgF
Method: DFT, PBE
State: relaxed

Computed properties:
- crystal system = orthorhombic
- final energy (eV for the cell shown) = -42.940
- energy above the lowest structure with this stoichiometry (meV/atom) = 0.0
- raw formation energy (meV per atom) = -639

The structure in CIF format:
```
data_CuAgF
_symmetry_space_group_name_H-M 'C m c 21'
_symmetry_Int_Tables_number 36
_symmetry_space_group_name_Hall 'C 2c -2'
_cell_length_a 2.9150
_cell_length_b 13.0565
_cell_length_c 4.3523
_cell_angle_alpha 90.00
_cell_angle_beta 90.00
_cell_angle_gamma 90.00
loop_
_atom_site_label
_atom_site_fract_x
_atom_site_fract_y
_atom_site_fract_z
_atom_site_occupancy
Cu1 0.0000 0.0482 0.0000 1
Ag1 0.0000 0.3751 0.9989 1
F1 0.0000 0.1976 0.9943 1
```


Material: CuAg3F6
Method: DFT, PBE
State: relaxed

Computed properties:
- crystal system = monoclinic
- final energy (eV for the cell shown) = -72.081
- energy above the lowest structure with this stoichiometry (meV/atom) = 0.0
- raw formation energy (meV per atom) = -1216

The structure in CIF format:
```
data_CuAg3F6
_symmetry_space_group_name_H-M 'P 1 21/c 1'
_symmetry_Int_Tables_number 14
_symmetry_space_group_name_Hall '-P 2ybc'
_cell_length_a 5.7952
_cell_length_b 5.9319
_cell_length_c 9.9912
_cell_angle_alpha 90.00
_cell_angle_beta 124.67
_cell_angle_gamma 90.00
loop_
_atom_site_label
_atom_site_fract_x
_atom_site_fract_y
_atom_site_fract_z
_atom_site_occupancy
Cu1 0.0000 0.0000 0.0000 1
Ag1 0.2703 0.0529 0.7527 1
Ag2 0.5000 0.0000 0.5000 1
F1 0.1201 0.0468 0.2273 1
F2 0.2274 0.7222 0.0644 1
F3 0.3288 0.1750 0.0479 1
```


Material: CuAgF5
Method: DFT, PBE
State: relaxed

Computed properties:
- crystal system = monoclinic
- final energy (eV for the cell shown) = -100.613
- raw formation energy (meV per atom) = -1264

The structure in CIF format:
```
data_CuAgF5
_symmetry_space_group_name_H-M 'C 1 2/c 1'
_symmetry_Int_Tables_number 15
_symmetry_space_group_name_Hall '-C 2yc'
_cell_length_a 5.6826
_cell_length_b 10.6343
_cell_length_c 7.3193
_cell_angle_alpha 90.00
_cell_angle_beta 90.25
_cell_angle_gamma 90.00
loop_
_atom_site_label
_atom_site_fract_x
_atom_site_fract_y
_atom_site_fract_z
_atom_site_occupancy
Cu1 0.0000 0.0000 0.0000 1
Ag1 0.0000 0.3718 0.2500 1
F1 0.0000 0.0664 0.2500 1
F2 0.2385 0.1242 0.5586 1
F3 0.2494 0.1202 0.9483 1
```


Material: Cu3Ag4F10
Method: DFT, PBE
State: relaxed

Computed properties:
- crystal system = tetragonal
- final energy (eV for the cell shown) = -127.268
- raw formation energy (meV per atom) = -1249

The structure in CIF format:
```
data_Cu3Ag4F10
_symmetry_space_group_name_H-M 'I 4/m m m'
_symmetry_Int_Tables_number 139
_symmetry_space_group_name_Hall '-I 4 2'
_cell_length_a 4.0538
_cell_length_b 4.0538
_cell_length_c 27.8196
_cell_angle_alpha 90.00
_cell_angle_beta 90.00
_cell_angle_gamma 90.00
loop_
_atom_site_label
_atom_site_fract_x
_atom_site_fract_y
_atom_site_fract_z
_atom_site_occupancy
Cu1 0.0000 0.0000 0.0000 1
Cu2 0.0000 0.0000 0.1426 1
Ag1 0.0000 0.0000 0.2963 1
Ag2 0.0000 0.0000 0.4305 1
F1 0.0000 0.0000 0.0711 1
F2 0.0000 0.0000 0.2140 1
F3 0.0000 0.5000 0.0000 1
F4 0.0000 0.5000 0.1406 1
```


Material: CuAg3F
Method: DFT, PBE
State: relaxed

Computed properties:
- crystal system = cubic
- final energy (eV for the cell shown) = -12.744
- energy above the lowest structure with this stoichiometry (meV/atom) = 188.3
- raw formation energy (meV per atom) = 356

The structure in CIF format:
```
data_CuAg3F
_symmetry_space_group_name_H-M 'P m -3 m'
_symmetry_Int_Tables_number 221
_symmetry_space_group_name_Hall '-P 4 2 3'
_cell_length_a 4.8138
_cell_length_b 4.8138
_cell_length_c 4.8138
_cell_angle_alpha 90.00
_cell_angle_beta 90.00
_cell_angle_gamma 90.00
loop_
_atom_site_label
_atom_site_fract_x
_atom_site_fract_y
_atom_site_fract_z
_atom_site_occupancy
Cu1 0.0000 0.0000 0.0000 1
Ag1 0.0000 0.0000 0.5000 1
F1 0.5000 0.5000 0.5000 1
```


Material: Cu2AgF5
Method: DFT, PBE
State: relaxed

Computed properties:
- crystal system = orthorhombic
- final energy (eV for the cell shown) = -124.678
- raw formation energy (meV per atom) = -1346

The structure in CIF format:
```
data_Cu2AgF5
_symmetry_space_group_name_H-M 'C m c m'
_symmetry_Int_Tables_number 63
_symmetry_space_group_name_Hall '-C 2c 2'
_cell_length_a 3.7607
_cell_length_b 11.9572
_cell_length_c 10.8044
_cell_angle_alpha 90.00
_cell_angle_beta 90.00
_cell_angle_gamma 90.00
loop_
_atom_site_label
_atom_site_fract_x
_atom_site_fract_y
_atom_site_fract_z
_atom_site_occupancy
Cu1 0.0000 0.1139 0.0750 1
Ag1 0.0000 0.1982 0.7500 1
F1 0.0000 0.0692 0.5955 1
F2 0.0000 0.1619 0.2500 1
F3 0.0000 0.3393 0.5704 1
```


Material: Cu7AgF12
Method: DFT, PBE
State: relaxed

Computed properties:
- crystal system = cubic
- final energy (eV for the cell shown) = -161.825
- raw formation energy (meV per atom) = -1347

The structure in CIF format:
```
data_Cu7AgF12
_symmetry_space_group_name_H-M 'I m -3'
_symmetry_Int_Tables_number 204
_symmetry_space_group_name_Hall '-I 2 2 3'
_cell_length_a 7.8473
_cell_length_b 7.8473
_cell_length_c 7.8473
_cell_angle_alpha 90.00
_cell_angle_beta 90.00
_cell_angle_gamma 90.00
loop_
_atom_site_label
_atom_site_fract_x
_atom_site_fract_y
_atom_site_fract_z
_atom_site_occupancy
Cu1 0.0000 0.0000 0.5000 1
Cu2 0.2500 0.2500 0.2500 1
Ag1 0.0000 0.0000 0.0000 1
F1 0.0000 0.1743 0.3136 1
```


Material: CuAg3F4
Method: DFT, PBE
State: relaxed

Computed properties:
- crystal system = orthorhombic
- final energy (eV for the cell shown) = -56.038
- energy above the lowest structure with this stoichiometry (meV/atom) = 0.0
- raw formation energy (meV per atom) = -985

The structure in CIF format:
```
data_CuAg3F4
_symmetry_space_group_name_H-M 'P m n 21'
_symmetry_Int_Tables_number 31
_symmetry_space_group_name_Hall 'P 2ac -2'
_cell_length_a 9.6403
_cell_length_b 5.1756
_cell_length_c 4.6651
_cell_angle_alpha 90.00
_cell_angle_beta 90.00
_cell_angle_gamma 90.00
loop_
_atom_site_label
_atom_site_fract_x
_atom_site_fract_y
_atom_site_fract_z
_atom_site_occupancy
Cu1 0.0000 0.1667 0.0000 1
Ag1 0.0000 0.6898 0.5078 1
Ag2 0.2430 0.3258 0.4996 1
F1 0.0000 0.1632 0.4987 1
F2 0.0000 0.6342 0.0082 1
F3 0.1977 0.1546 0.9995 1
```


Material: Cu3Ag5F12
Method: DFT, PBE
State: relaxed

Computed properties:
- crystal system = hexagonal
- final energy (eV for the cell shown) = -74.173
- raw formation energy (meV per atom) = -1259

The structure in CIF format:
```
data_Cu3Ag5F12
_symmetry_space_group_name_H-M 'P -6 2 m'
_symmetry_Int_Tables_number 189
_symmetry_space_group_name_Hall 'P -6 -2'
_cell_length_a 10.0081
_cell_length_b 10.0081
_cell_length_c 3.2109
_cell_angle_alpha 90.00
_cell_angle_beta 90.00
_cell_angle_gamma 120.00
loop_
_atom_site_label
_atom_site_fract_x
_atom_site_fract_y
_atom_site_fract_z
_atom_site_occupancy
Cu1 0.0000 0.3407 0.0000 1
Ag1 0.0000 0.7210 0.5000 1
Ag2 0.3333 0.6667 0.5000 1
F1 0.0000 0.2063 0.5000 1
F2 0.0000 0.4708 0.5000 1
F3 0.2207 0.4437 0.0000 1
```


Material: CuAg4F5
Method: DFT, PBE
State: relaxed

Computed properties:
- crystal system = tetragonal
- final energy (eV for the cell shown) = -70.965
- raw formation energy (meV per atom) = -1062

The structure in CIF format:
```
data_CuAg4F5
_symmetry_space_group_name_H-M 'I 4/m'
_symmetry_Int_Tables_number 87
_symmetry_space_group_name_Hall '-I 4'
_cell_length_a 8.7628
_cell_length_b 8.7628
_cell_length_c 3.8381
_cell_angle_alpha 90.00
_cell_angle_beta 90.00
_cell_angle_gamma 90.00
loop_
_atom_site_label
_atom_site_fract_x
_atom_site_fract_y
_atom_site_fract_z
_atom_site_occupancy
Cu1 0.0000 0.0000 0.0000 1
Ag1 0.0944 0.6422 0.5000 1
F1 0.0000 0.0000 0.5000 1
F2 0.1310 0.8058 0.0000 1
```


Material: CuAg2F8
Method: DFT, PBE
State: relaxed

Computed properties:
- crystal system = trigonal
- final energy (eV for the cell shown) = -36.620
- raw formation energy (meV per atom) = -1077

The structure in CIF format:
```
data_CuAg2F8
_symmetry_space_group_name_H-M 'P -3'
_symmetry_Int_Tables_number 147
_symmetry_space_group_name_Hall '-P 3'
_cell_length_a 6.4752
_cell_length_b 6.4752
_cell_length_c 4.2234
_cell_angle_alpha 90.00
_cell_angle_beta 90.00
_cell_angle_gamma 120.00
loop_
_atom_site_label
_atom_site_fract_x
_atom_site_fract_y
_atom_site_fract_z
_atom_site_occupancy
Cu1 0.0000 0.0000 0.0000 1
Ag1 0.3333 0.6667 0.2374 1
F1 0.1397 0.8584 0.2371 1
F2 0.3333 0.6667 0.7348 1
```


Material: Cu2AgF4
Method: DFT, PBE
State: relaxed

Computed properties:
- crystal system = tetragonal
- final energy (eV for the cell shown) = -26.486
- energy above the lowest structure with this stoichiometry (meV/atom) = 102.3
- raw formation energy (meV per atom) = -1137

The structure in CIF format:
```
data_Cu2AgF4
_symmetry_space_group_name_H-M 'P -4 2 m'
_symmetry_Int_Tables_number 111
_symmetry_space_group_name_Hall 'P -4 2'
_cell_length_a 4.5124
_cell_length_b 4.5124
_cell_length_c 6.0801
_cell_angle_alpha 90.00
_cell_angle_beta 90.00
_cell_angle_gamma 90.00
loop_
_atom_site_label
_atom_site_fract_x
_atom_site_fract_y
_atom_site_fract_z
_atom_site_occupancy
Cu1 0.0000 0.5000 0.0000 1
Ag1 0.0000 0.0000 0.5000 1
F1 0.2298 0.2298 0.8031 1
```


Material: Cu2Ag3F6
Method: DFT, PBE
State: relaxed

Computed properties:
- crystal system = tetragonal
- final energy (eV for the cell shown) = -80.348
- energy above the lowest structure with this stoichiometry (meV/atom) = 0.0
- raw formation energy (meV per atom) = -1109

The structure in CIF format:
```
data_Cu2Ag3F6
_symmetry_space_group_name_H-M 'I 4/m m m'
_symmetry_Int_Tables_number 139
_symmetry_space_group_name_Hall '-I 4 2'
_cell_length_a 3.9469
_cell_length_b 3.9469
_cell_length_c 20.5053
_cell_angle_alpha 90.00
_cell_angle_beta 90.00
_cell_angle_gamma 90.00
loop_
_atom_site_label
_atom_site_fract_x
_atom_site_fract_y
_atom_site_fract_z
_atom_site_occupancy
Cu1 0.0000 0.0000 0.0912 1
Ag1 0.0000 0.0000 0.3105 1
Ag2 0.0000 0.0000 0.5000 1
F1 0.0000 0.0000 0.1977 1
F2 0.0000 0.5000 0.0821 1
```


Material: Cu3AgF
Method: DFT, PBE
State: relaxed

Computed properties:
- crystal system = cubic
- final energy (eV for the cell shown) = -16.473
- energy above the lowest structure with this stoichiometry (meV/atom) = 0.0
- raw formation energy (meV per atom) = 108

The structure in CIF format:
```
data_Cu3AgF
_symmetry_space_group_name_H-M 'P m -3 m'
_symmetry_Int_Tables_number 221
_symmetry_space_group_name_Hall '-P 4 2 3'
_cell_length_a 4.1494
_cell_length_b 4.1494
_cell_length_c 4.1494
_cell_angle_alpha 90.00
_cell_angle_beta 90.00
_cell_angle_gamma 90.00
loop_
_atom_site_label
_atom_site_fract_x
_atom_site_fract_y
_atom_site_fract_z
_atom_site_occupancy
Cu1 0.0000 0.0000 0.5000 1
Ag1 0.5000 0.5000 0.5000 1
F1 0.0000 0.0000 0.0000 1
```


Material: Cu3AgF6
Method: DFT, PBE
State: relaxed

Computed properties:
- crystal system = orthorhombic
- final energy (eV for the cell shown) = -79.581
- raw formation energy (meV per atom) = -1342

The structure in CIF format:
```
data_Cu3AgF6
_symmetry_space_group_name_H-M 'C m m m'
_symmetry_Int_Tables_number 65
_symmetry_space_group_name_Hall '-C 2 2'
_cell_length_a 7.3452
_cell_length_b 10.9316
_cell_length_c 3.2445
_cell_angle_alpha 90.00
_cell_angle_beta 90.00
_cell_angle_gamma 90.00
loop_
_atom_site_label
_atom_site_fract_x
_atom_site_fract_y
_atom_site_fract_z
_atom_site_occupancy
Cu1 0.0000 0.0000 0.0000 1
Cu2 0.2500 0.2500 0.5000 1
Ag1 0.0000 0.5000 0.0000 1
F1 0.0000 0.3188 0.5000 1
F2 0.1895 0.1253 0.0000 1
```


Material: CuAg3F6
Method: DFT, PBE
State: relaxed

Computed properties:
- crystal system = trigonal
- final energy (eV for the cell shown) = -215.890
- energy above the lowest structure with this stoichiometry (meV/atom) = 5.9
- raw formation energy (meV per atom) = -1210

The structure in CIF format:
```
data_CuAg3F6
_symmetry_space_group_name_H-M 'R -3'
_symmetry_Int_Tables_number 148
_symmetry_space_group_name_Hall '-R 3'
_cell_length_a 9.7564
_cell_length_b 9.7564
_cell_length_c 11.0991
_cell_angle_alpha 90.00
_cell_angle_beta 90.00
_cell_angle_gamma 120.00
loop_
_atom_site_label
_atom_site_fract_x
_atom_site_fract_y
_atom_site_fract_z
_atom_site_occupancy
Cu1 0.0000 0.0000 0.0000 1
Cu2 0.0000 0.0000 0.5000 1
Ag1 0.0373 0.2766 0.2062 1
F1 0.0125 0.1767 0.4020 1
F2 0.0164 0.1728 0.8952 1
```


Material: CuAg6F12
Method: DFT, PBE
State: relaxed

Computed properties:
- crystal system = trigonal
- final energy (eV for the cell shown) = -199.109
- raw formation energy (meV per atom) = -1195

The structure in CIF format:
```
data_CuAg6F12
_symmetry_space_group_name_H-M 'R -3'
_symmetry_Int_Tables_number 148
_symmetry_space_group_name_Hall '-R 3'
_cell_length_a 10.3976
_cell_length_b 10.3976
_cell_length_c 9.2042
_cell_angle_alpha 90.00
_cell_angle_beta 90.00
_cell_angle_gamma 120.00
loop_
_atom_site_label
_atom_site_fract_x
_atom_site_fract_y
_atom_site_fract_z
_atom_site_occupancy
Cu1 0.0000 0.0000 0.0000 1
Ag1 0.0530 0.2525 0.6579 1
F1 0.0172 0.2420 0.4109 1
F2 0.0496 0.1745 0.8808 1
```


Material: Cu6AgF12
Method: DFT, PBE
State: relaxed

Computed properties:
- crystal system = trigonal
- final energy (eV for the cell shown) = -228.677
- raw formation energy (meV per atom) = -1386

The structure in CIF format:
```
data_Cu6AgF12
_symmetry_space_group_name_H-M 'R -3'
_symmetry_Int_Tables_number 148
_symmetry_space_group_name_Hall '-R 3'
_cell_length_a 10.0054
_cell_length_b 10.0054
_cell_length_c 8.3561
_cell_angle_alpha 90.00
_cell_angle_beta 90.00
_cell_angle_gamma 120.00
loop_
_atom_site_label
_atom_site_fract_x
_atom_site_fract_y
_atom_site_fract_z
_atom_site_occupancy
Cu1 0.0863 0.5533 0.3171 1
Ag1 0.0000 0.0000 0.0000 1
F1 0.0126 0.7540 0.9531 1
F2 0.0853 0.8996 0.3598 1
```


Material: Cu3Ag2F7
Method: DFT, PBE
State: relaxed

Computed properties:
- crystal system = orthorhombic
- final energy (eV for the cell shown) = -183.241
- raw formation energy (meV per atom) = -1227

The structure in CIF format:
```
data_Cu3Ag2F7
_symmetry_space_group_name_H-M 'C m c 21'
_symmetry_Int_Tables_number 36
_symmetry_space_group_name_Hall 'C 2c -2'
_cell_length_a 24.6033
_cell_length_b 4.9831
_cell_length_c 5.4305
_cell_angle_alpha 90.00
_cell_angle_beta 90.00
_cell_angle_gamma 90.00
loop_
_atom_site_label
_atom_site_fract_x
_atom_site_fract_y
_atom_site_fract_z
_atom_site_occupancy
Cu1 0.0000 0.1961 0.0000 1
Cu2 0.2003 0.2575 0.1332 1
Ag1 0.0906 0.3449 0.5245 1
F1 0.0000 0.4822 0.7332 1
F2 0.0543 0.0141 0.2569 1
F3 0.1671 0.4458 0.8398 1
F4 0.2189 0.0635 0.4377 1
```


Number 1: total moment 0.00 μB per formula unit. Number 2: total moment 1.92 μB per formula unit. Number 3: total moment 1.00 μB per formula unit. Number 4: total moment 0.97 μB per formula unit. Number 5: total moment 0.00 μB per formula unit. Number 6: total moment 2.01 μB per formula unit. Number 7: total moment 4.02 μB per formula unit. Number 8: total moment 0.40 μB per formula unit. Number 9: total moment 4.09 μB per formula unit. Number 10: total moment 0.96 μB per formula unit. Number 11: total moment 0.00 μB per formula unit. Number 12: total moment 1.01 μB per formula unit. Number 13: total moment 0.00 μB per formula unit. Number 14: total moment 0.00 μB per formula unit. Number 15: total moment 2.02 μB per formula unit. Number 16: total moment 2.00 μB per formula unit. Number 17: total moment 0.80 μB per formula unit. Number 18: total moment 5.02 μB per formula unit. Number 19: total moment 2.02 μB per formula unit.